[1]
A relaxed structure of PrErPt, computed with PBE.

Values from the calculation:
* relative energy among the computed polymorphs: 0 meV per atom
* ΔE_f: -0.82 eV per atom
* E: -71.4 eV per cell
* calculated density: 10.162 g/cm3

a b c (Å): 12.518 3.862 8.253
angles (deg): 90.00 124.48 90.00
Space group Cm (No. 8)
Symmetry-distinct sites (fractional):
Pr1 0.000 0.000 0.000
Pr2 0.070 0.500 0.688
Er1 0.242 0.500 0.456
Er2 0.330 0.000 0.150
Pt1 0.026 0.000 0.375
Pt2 0.292 0.000 0.755

---

[2]
A relaxed structure of TbPrAlSn, computed with PBE.

Values from the calculation:
* ΔE_f: -0.44 eV per atom
* E: -75.6 eV per cell
* calculated density: 6.836 g/cm3

a b c (Å): 7.565 7.565 7.565
angles (deg): 90.00 90.00 90.00
Space group F-43m (No. 216)
Symmetry-distinct sites (fractional):
Tb1 0.000 0.000 0.000
Pr1 0.000 0.000 0.500
Al1 0.250 0.250 0.750
Sn1 0.250 0.250 0.250

---

[3]
A relaxed structure of V3CrW6, computed with PBE.

Values from the calculation:
* ΔE_f: -0.06 eV per atom
* E: -230.6 eV per cell
* calculated density: 14.543 g/cm3

a b c (Å): 6.950 3.112 13.807
angles (deg): 90.00 90.14 90.00
Space group P2_1/m (No. 11)
Symmetry-distinct sites (fractional):
V1 0.048 0.250 0.327
V2 0.147 0.750 0.975
V3 0.348 0.750 0.277
Cr1 0.247 0.250 0.623
W1 0.049 0.250 0.823
W2 0.150 0.750 0.476
W3 0.250 0.250 0.127
W4 0.349 0.750 0.769
W5 0.446 0.250 0.924
W6 0.454 0.250 0.423

---

[4]
A relaxed structure of Ca2CoAs, computed with PBE.

Values from the calculation:
* ΔE_f: -0.35 eV per atom
* E: -34.3 eV per cell
* calculated density: 3.832 g/cm3

a b c (Å): 3.483 4.523 11.775
angles (deg): 90.00 90.00 90.00
Space group Imm2 (No. 44)
Symmetry-distinct sites (fractional):
Ca1 0.000 0.000 0.000
Ca2 0.000 0.500 0.228
Co1 0.000 0.000 0.452
As1 0.000 0.500 0.820

---

[5]
A relaxed structure of ScReMo, computed with PBE.

Values from the calculation:
* relative energy among the computed polymorphs: 577 meV per atom
* ΔE_f: 0.38 eV per atom
* E: -113.9 eV per cell
* calculated density: 9.263 g/cm3

a b c (Å): 6.167 6.167 6.167
angles (deg): 90.00 90.00 90.00
Space group F-43m (No. 216)
Symmetry-distinct sites (fractional):
Sc1 0.000 0.000 0.000
Re1 0.250 0.250 0.750
Mo1 0.000 0.000 0.500

---

[6]
A relaxed structure of BaLiMo2, computed with PBE.

Values from the calculation:
* relative energy among the computed polymorphs: 0 meV per atom
* ΔE_f: 0.57 eV per atom
* E: -23.2 eV per cell
* calculated density: 6.044 g/cm3

a b c (Å): 3.334 3.334 8.307
angles (deg): 90.00 90.00 90.00
Space group P4mm (No. 99)
Symmetry-distinct sites (fractional):
Ba1 0.000 0.000 0.000
Li1 0.500 0.500 0.345
Mo1 0.000 0.000 0.548
Mo2 0.500 0.500 0.684

---

[7]
A relaxed structure of HfCr2Si, computed with PBE.

Values from the calculation:
* E: -131.1 eV per cell
* calculated density: 8.223 g/cm3

a b c (Å): 6.996 6.996 5.126
angles (deg): 90.00 90.00 90.00
Space group I-42d (No. 122)
Symmetry-distinct sites (fractional):
Hf1 0.000 0.000 0.000
Cr1 0.195 0.250 0.625
Si1 0.000 0.000 0.500

---

[8]
A relaxed structure of CoI2N, computed with PBE.

Values from the calculation:
* relative energy among the computed polymorphs: 558 meV per atom
* E: -45.5 eV per cell
* calculated density: 7.801 g/cm3

a b c (Å): 6.528 6.528 6.528
angles (deg): 90.00 90.00 90.00
Space group Fm-3m (No. 225)
Symmetry-distinct sites (fractional):
Co1 0.000 0.000 0.000
I1 0.250 0.250 0.250
N1 0.000 0.000 0.500